(1)
The following is a DFT calculation (SCAN) of NiSb2 at its PBEsol-relaxed geometry.

Output
* ΔE_f (raw): 0.729 eV/atom

Lattice parameters (Å, degrees): 5.0037 5.0037 2.9526 90.00 90.00 120.00
Closest atoms and distances in Å follow each position.
Fractional positions:
Ni (0.0000, 0.0000, 0.0000)  2 Ni 2.95, 12 Sb 3.24
Sb (0.3333, 0.6667, 0.5000)  5 Sb 2.89-2.95
Sb (0.6667, 0.3333, 0.5000)  5 Sb 2.89-2.95



(2)
The following is a DFT calculation (SCAN) of NiSb at its PBEsol-relaxed geometry.

Output
* ΔE_f (raw): -0.032 eV/atom

Lattice parameters (Å, degrees): 6.2305 6.2305 6.2305 146.34 60.47 131.34
Closest atoms and distances in Å follow each position.
Fractional positions:
Ni (0.0000, 0.0000, 0.0000)  2 Sb 2.54-2.59, 4 Ni 2.75
Ni (0.5704, 0.1999, 0.3705)  6 Sb 2.51-2.79, 3 Ni 2.75-2.79
Ni (0.8294, 0.1999, 0.6295)  6 Sb 2.51-2.79, 3 Ni 2.75-2.79
Sb (0.3627, 0.6723, 0.6904)  4 Ni 2.51-2.79
Sb (0.4956, 0.4956, 0.0000)  6 Ni 2.51-2.59
Sb (0.9819, 0.6723, 0.3096)  4 Ni 2.51-2.79



(3)
The following is a DFT calculation (SCAN) of Ni5Sb2 at its PBEsol-relaxed geometry.

Output
* ΔE_f (raw): -0.129 eV/atom

Lattice parameters (Å, degrees): 6.9284 6.9284 6.0565 115.58 115.58 45.44
Closest atoms and distances in Å follow each position.
Fractional positions:
Ni (0.0199, 0.5218, 0.7414)  4 Sb 2.55-2.60, 8 Ni 2.55-2.72
Ni (0.1026, 0.1026, 0.4040)  6 Ni 2.55, 4 Sb 2.56-2.68
Ni (0.2497, 0.7503, 0.0000)  4 Sb 2.55-2.58, 8 Ni 2.55-2.68
Ni (0.3715, 0.3715, 0.1474)  6 Ni 2.56-2.59, 5 Sb 2.58-2.79
Ni (0.4782, 0.9801, 0.2586)  4 Sb 2.55-2.60, 8 Ni 2.55-2.72
Ni (0.5218, 0.0199, 0.7414)  4 Sb 2.55-2.60, 8 Ni 2.55-2.72
Ni (0.6285, 0.6285, 0.8526)  6 Ni 2.56-2.59, 5 Sb 2.58-2.79
Ni (0.7503, 0.2497, 0.0000)  4 Sb 2.55-2.58, 8 Ni 2.55-2.68
Ni (0.8974, 0.8974, 0.5960)  6 Ni 2.55, 4 Sb 2.56-2.68
Ni (0.9801, 0.4782, 0.2586)  4 Sb 2.55-2.60, 8 Ni 2.55-2.72
Sb (0.1264, 0.1264, 0.8479)  11 Ni 2.56-2.79
Sb (0.3977, 0.3977, 0.5968)  10 Ni 2.55-2.68
Sb (0.6023, 0.6023, 0.4032)  10 Ni 2.55-2.68
Sb (0.8736, 0.8736, 0.1521)  11 Ni 2.56-2.79



(4)
The following is a DFT calculation (SCAN) of NiSb at its PBEsol-relaxed geometry.

Output
* ΔE_f (raw): -0.004 eV/atom

Lattice parameters (Å, degrees): 3.1964 3.1964 7.0128 90.00 90.00 90.00
Closest atoms and distances in Å follow each position.
Fractional positions:
Ni (0.2500, 0.2500, 0.0919)  4 Ni 2.60, 5 Sb 2.62
Ni (0.7500, 0.7500, 0.9081)  4 Ni 2.60, 5 Sb 2.62
Sb (0.2500, 0.2500, 0.7187)  5 Ni 2.62
Sb (0.7500, 0.7500, 0.2813)  5 Ni 2.62



(5)
The following is a DFT calculation (SCAN) of Ni5Sb at its PBEsol-relaxed geometry.

Output
* ΔE_f (raw): -0.022 eV/atom

Lattice parameters (Å, degrees): 5.5851 5.5851 3.6309 90.00 90.00 141.76
Closest atoms and distances in Å follow each position.
Fractional positions:
Ni (0.0000, 0.0000, 0.0000)  8 Ni 2.56-2.58, 4 Sb 2.58
Ni (0.1715, 0.8285, 0.5000)  10 Ni 2.45-2.58, 2 Sb 2.57
Ni (0.3270, 0.6730, 0.0000)  10 Ni 2.45-2.58, 2 Sb 2.57
Ni (0.6730, 0.3270, 0.0000)  10 Ni 2.45-2.58, 2 Sb 2.57
Ni (0.8285, 0.1715, 0.5000)  10 Ni 2.45-2.58, 2 Sb 2.57
Sb (0.5000, 0.5000, 0.5000)  12 Ni 2.57-2.58



(6)
The following is a DFT calculation (SCAN) of NiSb at its PBEsol-relaxed geometry.

Output
* ΔE_f (raw): 0.052 eV/atom

Lattice parameters (Å, degrees): 3.7504 3.7504 2.9490 90.00 90.00 120.00
Closest atoms and distances in Å follow each position.
Fractional positions:
Ni (0.0000, 0.0000, 0.0000)  6 Sb 2.62
Sb (0.3333, 0.6667, 0.5000)  6 Ni 2.62



(7)
The following is a DFT calculation (SCAN) of NiSb at its PBEsol-relaxed geometry.

Output
* ΔE_f (raw): 0.019 eV/atom

Lattice parameters (Å, degrees): 6.9313 6.9313 6.9313 30.22 30.22 30.22
Closest atoms and distances in Å follow each position.
Fractional positions:
Ni (0.1334, 0.1334, 0.1334)  3 Ni 2.47, 4 Sb 2.48-2.66
Ni (0.8666, 0.8666, 0.8666)  3 Ni 2.47, 4 Sb 2.48-2.66
Sb (0.2675, 0.2675, 0.2675)  4 Ni 2.48-2.66
Sb (0.7325, 0.7325, 0.7325)  4 Ni 2.48-2.66



(8)
The following is a DFT calculation (SCAN) of NiSb2 at its PBEsol-relaxed geometry.

Output
* ΔE_f (raw): 0.109 eV/atom

Lattice parameters (Å, degrees): 5.3592 5.3592 5.3592 105.66 105.66 117.40
Closest atoms and distances in Å follow each position.
Fractional positions:
Ni (0.2500, 0.2500, 0.0000)  2 Ni 2.78, 8 Sb 2.79
Ni (0.7500, 0.7500, 0.0000)  2 Ni 2.78, 8 Sb 2.79
Sb (0.1669, 0.6669, 0.8338)  4 Ni 2.79, 1 Sb 3.06
Sb (0.3331, 0.1669, 0.5000)  4 Ni 2.79, 1 Sb 3.06
Sb (0.6669, 0.8331, 0.5000)  4 Ni 2.79, 1 Sb 3.06
Sb (0.8331, 0.3331, 0.1662)  4 Ni 2.79, 1 Sb 3.06



(9)
The following is a DFT calculation (SCAN) of NiSb3 at its PBEsol-relaxed geometry.

Output
* relative energy among the computed polymorphs: 0.00 kJ per mole of atoms
* ΔE_f (raw): -0.158 eV/atom

Lattice parameters (Å, degrees): 7.8874 7.8874 7.8874 109.47 109.47 109.47
Closest atoms and distances in Å follow each position.
Fractional positions:
Ni (0.0000, 0.0000, 0.5000)  6 Sb 2.54
Ni (0.0000, 0.5000, 0.0000)  6 Sb 2.54
Ni (0.5000, 0.0000, 0.0000)  6 Sb 2.54
Ni (0.5000, 0.5000, 0.5000)  6 Sb 2.54
Sb (0.1598, 0.3363, 0.4961)  2 Ni 2.54
Sb (0.1598, 0.6637, 0.8235)  2 Ni 2.54
Sb (0.1765, 0.8402, 0.3363)  2 Ni 2.54
Sb (0.3363, 0.1765, 0.8402)  2 Ni 2.54
Sb (0.3363, 0.4961, 0.1598)  2 Ni 2.54
Sb (0.4961, 0.1598, 0.3363)  2 Ni 2.54
Sb (0.5039, 0.8402, 0.6637)  2 Ni 2.54
Sb (0.6637, 0.5039, 0.8402)  2 Ni 2.54
Sb (0.6637, 0.8235, 0.1598)  2 Ni 2.54
Sb (0.8235, 0.1598, 0.6637)  2 Ni 2.54
Sb (0.8402, 0.3363, 0.1765)  2 Ni 2.54
Sb (0.8402, 0.6637, 0.5039)  2 Ni 2.54



(10)
The following is a DFT calculation (SCAN) of Sc4NiSb at its PBEsol-relaxed geometry.

Output
* ΔE_f (raw): 0.336 eV/atom

Lattice parameters (Å, degrees): 5.5874 5.5874 5.5874 60.00 60.00 60.00
Closest atoms and distances in Å follow each position.
Fractional positions:
Sc (0.1250, 0.1250, 0.1250)  6 Sc 2.79
Sc (0.1250, 0.1250, 0.6250)  6 Sc 2.79
Sc (0.1250, 0.6250, 0.1250)  6 Sc 2.79
Sc (0.6250, 0.1250, 0.1250)  6 Sc 2.79
Ni (0.7500, 0.7500, 0.7500)  12 Sc 3.28, 4 Sb 3.42
Sb (0.5000, 0.5000, 0.5000)  12 Sc 3.28, 4 Ni 3.42



(11)
The following is a DFT calculation (SCAN) of Sc2NiSb at its PBEsol-relaxed geometry.

Output
* ΔE_f (raw): -0.727 eV/atom

Lattice parameters (Å, degrees): 3.9418 5.5200 5.5200 40.54 90.00 90.00
Closest atoms and distances in Å follow each position.
Fractional positions:
Sc (0.0000, 0.0000, 0.0000)  1 Ni 2.60, 4 Sb 2.88
Sc (0.5000, 0.2994, 0.2994)  4 Ni 2.80, 3 Sb 2.93-2.95
Ni (0.0000, 0.7492, 0.7492)  5 Sc 2.60-2.80, 2 Sb 2.60
Sb (0.5000, 0.5848, 0.5848)  2 Ni 2.60, 4 Sc 2.88



(12)
The following is a DFT calculation (SCAN) of ScNiSb2 at its PBEsol-relaxed geometry.

Output
* ΔE_f (raw): -0.302 eV/atom

Lattice parameters (Å, degrees): 5.6300 5.6300 5.6300 138.86 138.86 59.59
Closest atoms and distances in Å follow each position.
Fractional positions:
Sc (0.0000, 0.0000, 0.0000)  4 Sb 2.80
Ni (0.7500, 0.2500, 0.5000)  4 Sb 2.80
Sb (0.2500, 0.7500, 0.5000)  4 Ni 2.80
Sb (0.5000, 0.5000, 0.0000)  4 Sc 2.80



(13)
The following is a DFT calculation (SCAN) of ScNi2Sb at its PBEsol-relaxed geometry.

Output
* ΔE_f (raw): -0.437 eV/atom

Lattice parameters (Å, degrees): 4.0948 4.0948 3.6044 90.00 90.00 90.00
Closest atoms and distances in Å follow each position.
Fractional positions:
Sc (0.0000, 0.0000, 0.0000)  8 Ni 2.73, 4 Sb 2.90
Ni (0.0000, 0.5000, 0.5000)  4 Sb 2.73, 4 Sc 2.73, 4 Ni 2.90
Ni (0.5000, 0.0000, 0.5000)  4 Sb 2.73, 4 Sc 2.73, 4 Ni 2.90
Sb (0.5000, 0.5000, 0.0000)  8 Ni 2.73, 4 Sc 2.90